1.
Density functional theory data (GGA-PBE) for a relaxed structure of Zn2CdTe2.

Cell: 4.280 4.280 8.910 Å, 76.10 76.10 90.00°
Atoms (fractional coordinates):
Zn (0.750, 0.250, 0.500)
Zn (0.250, 0.750, 0.500)
Te (0.352, 0.352, 0.297)
Te (0.648, 0.648, 0.703)
Cd (0.000, 0.000, 0.000)

**DOS at the Fermi energy**: 0.0 states/eV/cell
**Uncorrected formation energy**: -0.79 eV/f.u.
**Magnetic moment**: 0.00 Bohr magnetons per cell
**V**: 153.5 Å³ per cell
**Polymorph energy (0 for the lowest one)**: 0.000 eV per atom



2.
Density functional theory data (GGA-PBE) for a relaxed structure of ZnCdTe.

Cell: 5.109 5.109 6.804 Å, 73.12 73.12 89.46°
Atoms (fractional coordinates):
Zn (0.975, 0.467, 0.881)
Zn (0.467, 0.975, 0.381)
Cd (0.524, 0.699, 0.094)
Cd (0.699, 0.524, 0.594)
Te (0.041, 0.271, 0.275)
Te (0.271, 0.041, 0.775)

**DOS at the Fermi energy**: 0.7 states/eV/cell
**Uncorrected formation energy**: -0.20 eV/f.u.
**Magnetic moment**: 0.00 Bohr magnetons per cell
**V**: 162.1 Å³ per cell
**Polymorph energy (0 for the lowest one)**: 0.088 eV per atom



3.
Density functional theory data (GGA-PBE) for a relaxed structure of ZnCdTe.

Cell: 6.931 6.584 3.586 Å, 80.04 69.33 30.63°
Atoms (fractional coordinates):
Cd (0.988, 0.988, 0.012)
Te (0.681, 0.681, 0.319)
Zn (0.332, 0.332, 0.668)

**DOS at the Fermi energy**: 1.0 states/eV/cell
**Uncorrected formation energy**: 0.33 eV/f.u.
**Magnetic moment**: 0.00 Bohr magnetons per cell
**V**: 75.0 Å³ per cell
**Polymorph energy (0 for the lowest one)**: 0.266 eV per atom



4.
Density functional theory data (GGA-PBE) for a relaxed structure of ZnCdTe2.

Cell: 5.689 4.479 4.483 Å, 79.65 90.00 90.00°
Atoms (fractional coordinates):
Cd (0.500, 0.771, 0.768)
Te (0.000, 0.890, 0.890)
Te (0.500, 0.354, 0.352)
Zn (0.000, 0.485, 0.490)

**DOS at the Fermi energy**: 1.1 states/eV/cell
**Uncorrected formation energy**: -0.85 eV/f.u.
**Magnetic moment**: 0.00 Bohr magnetons per cell
**V**: 112.4 Å³ per cell



5.
Density functional theory data (GGA-PBE) for a relaxed structure of Zn2Cd2Te.

Cell: 7.310 7.310 4.284 Å, 90.00 90.00 90.00°
Atoms (fractional coordinates):
Zn (0.375, 0.875, 0.000)
Zn (0.875, 0.625, 0.000)
Zn (0.625, 0.125, 0.000)
Zn (0.125, 0.375, 0.000)
Te (0.000, 0.000, 0.000)
Te (0.500, 0.500, 0.000)
Cd (0.167, 0.667, 0.500)
Cd (0.667, 0.833, 0.500)
Cd (0.833, 0.333, 0.500)
Cd (0.333, 0.167, 0.500)

**DOS at the Fermi energy**: 4.8 states/eV/cell
**Uncorrected formation energy**: 0.47 eV/f.u.
**Magnetic moment**: 0.00 Bohr magnetons per cell
**V**: 228.9 Å³ per cell
**Polymorph energy (0 for the lowest one)**: 0.037 eV per atom



6.
Density functional theory data (GGA-PBE) for a relaxed structure of ZnCdTe2.

Cell: 6.839 6.839 4.319 Å, 108.39 108.39 36.84°
Atoms (fractional coordinates):
Cd (0.250, 0.250, 0.250)
Te (0.996, 0.996, 0.996)
Te (0.504, 0.504, 0.504)
Zn (0.750, 0.750, 0.750)

**DOS at the Fermi energy**: 2.1 states/eV/cell
**Uncorrected formation energy**: 0.44 eV/f.u.
**Magnetic moment**: 0.00 Bohr magnetons per cell
**V**: 114.2 Å³ per cell



7.
Density functional theory data (GGA-PBE) for a relaxed structure of ZnCdTe2.

Cell: 4.190 3.162 8.251 Å, 96.61 90.00 90.00°
Atoms (fractional coordinates):
Cd (0.500, 0.750, 0.750)
Te (0.000, 0.005, 0.020)
Te (0.000, 0.495, 0.480)
Zn (0.500, 0.250, 0.250)

**DOS at the Fermi energy**: 1.2 states/eV/cell
**Uncorrected formation energy**: -0.16 eV/f.u.
**Magnetic moment**: 0.00 Bohr magnetons per cell
**V**: 108.6 Å³ per cell



8.
Density functional theory data (GGA-PBE) for a relaxed structure of ZnCdTe2.

Cell: 8.400 4.019 14.300 Å, 90.00 90.00 90.00°
Atoms (fractional coordinates):
Zn (0.062, 0.250, 0.573)
Zn (0.438, 0.750, 0.073)
Zn (0.938, 0.750, 0.427)
Zn (0.562, 0.250, 0.927)
Te (0.761, 0.250, 0.496)
Te (0.739, 0.750, 0.996)
Te (0.239, 0.750, 0.504)
Te (0.261, 0.250, 0.004)
Te (0.499, 0.250, 0.745)
Te (0.001, 0.750, 0.245)
Te (0.501, 0.750, 0.255)
Te (0.999, 0.250, 0.755)
Cd (0.252, 0.250, 0.309)
Cd (0.248, 0.750, 0.809)
Cd (0.748, 0.750, 0.691)
Cd (0.752, 0.250, 0.191)

**DOS at the Fermi energy**: 5.5 states/eV/cell
**Uncorrected formation energy**: -0.91 eV/f.u.
**Magnetic moment**: 0.00 Bohr magnetons per cell
**V**: 482.7 Å³ per cell